Entry from Alexandria via LeMat-Bulk: crystalline Ti3MnSn2P6O24 at its relaxed geometry (PBE with a Hubbard U).

VASP energy = -7.638 eV per atom
volume = 1483 Å³/cell
M_tot = 5.000 μB per formula unit

```
data_Ti3MnSn2P6O24
_symmetry_space_group_name_H-M 'R 3'
_symmetry_Int_Tables_number 146
_symmetry_space_group_name_Hall 'R 3'
_cell_length_a 8.5441
_cell_length_b 8.5441
_cell_length_c 23.4653
_cell_angle_alpha 90.00
_cell_angle_beta 90.00
_cell_angle_gamma 120.00
loop_
_atom_site_label
_atom_site_type_symbol
_atom_site_fract_x
_atom_site_fract_y
_atom_site_fract_z
Ti1 Ti 0.0000 0.0000 0.0000
Ti2 Ti 0.0000 0.0000 0.2057
Ti3 Ti 0.0000 0.0000 0.5104
Mn1 Mn 0.0000 0.0000 0.6961
Sn1 Sn 0.0000 0.0000 0.3698
Sn2 Sn 0.0000 0.0000 0.8324
P1 P 0.0078 0.7214 0.1038
P2 P 0.0405 0.3695 0.2712
O1 O 0.0120 0.8208 0.1583
O2 O 0.0306 0.2015 0.5505
O3 O 0.0431 0.8349 0.0496
O4 O 0.0508 0.8425 0.7666
O5 O 0.1597 0.4698 0.9196
O6 O 0.1645 0.6762 0.1098
O7 O 0.1702 0.4218 0.3208
O8 O 0.1802 0.4623 0.6182
```